The following is a GGA-PBEsol calculation of an optimized crystal structure of CrCdFe2, from Alexandria.

Cell: 3.016 4.159 8.305 Å, 90.00 90.00 90.00°
Space group Cmm2 (No. 35)
Inequivalent atoms, fractional coordinates:
Cr  0.000  0.000  0.000
Cd  0.000  0.500  0.284
Fe  0.000  0.000  0.560
Fe  0.000  0.500  0.782

Properties
total magnetic moment	8.07	μB/cell
E_tot	-55.7	eV per cell
energy of formation	0.3768	eV per atom